Arrangement P

First-principles (meta-GGA SCAN) data for a crystal of CaInW relaxed with PBEsol, as listed in Alexandria via LeMat-Bulk.

Output
As for the calculated volume: 61 Å³ per cell.

Lattice parameters (Å, degrees): 2.9106 2.9106 7.5372 101.10 101.10 90.12
Positions (direct):
In: 0.6771 0.6771 0.3542
Ca: 0.9963 0.9963 0.9929
W: 0.3266 0.3266 0.6529



Arrangement Q

First-principles (meta-GGA SCAN) data for a crystal of CaInW relaxed with PBEsol, as listed in Alexandria via LeMat-Bulk.

Output
As for the calculated volume: 77 Å³ per cell.

Lattice parameters (Å, degrees): 4.7750 4.7750 4.7750 60.00 60.00 60.00
Last column: magnetic moment on the atom in μB.
Positions (direct):
W: 0.0000 0.0000 0.0000  1.93
In: 0.2500 0.2500 0.2500  -0.12
Ca: 0.5000 0.5000 0.5000  0.04



The relative energies come out as arrangement P 0.000; arrangement Q 0.621, with values in eV/atom.



Arrangement P

First-principles (meta-GGA SCAN) data for a crystal of CaIn2W relaxed with PBEsol, as listed in Alexandria via LeMat-Bulk.

Output
As for the calculated volume: 81 Å³ per cell.

Lattice parameters (Å, degrees): 2.9674 5.4103 5.4103 110.93 90.00 90.00
Positions (direct):
W: 0.5000 0.0000 0.0000
In: 0.0000 0.5000 0.0000
In: 0.0000 0.0000 0.5000
Ca: 0.5000 0.5000 0.5000



Arrangement Q

First-principles (meta-GGA SCAN) data for a crystal of CaIn2W relaxed with PBEsol, as listed in Alexandria via LeMat-Bulk.

Output
As for the calculated volume: 86 Å³ per cell.

Lattice parameters (Å, degrees): 3.0126 3.0126 9.5620 90.00 90.00 98.57
Positions (direct):
Ca: 0.5000 0.5000 0.2663
W: 0.0000 0.0000 0.5129
In: 0.5000 0.5000 0.7317
In: 0.0000 0.0000 0.9891



The relative energies come out as arrangement P 0.000; arrangement Q 0.092, with values in eV/atom.



Arrangement P

First-principles (meta-GGA SCAN) data for a crystal of Ca3InW relaxed with PBEsol, as listed in Alexandria via LeMat-Bulk.

Output
As for the calculated volume: 192 Å³ per cell.

Lattice parameters (Å, degrees): 5.7648 5.7648 5.7648 90.00 90.00 90.00
Last column: magnetic moment on the atom in μB.
Positions (direct):
Ca: 0.5000 0.0000 0.0000  0.00
Ca: 0.0000 0.5000 0.0000  0.00
Ca: 0.0000 0.0000 0.5000  0.00
W: 0.5000 0.5000 0.5000  3.33
In: 0.0000 0.0000 0.0000  -0.12



Arrangement Q

First-principles (meta-GGA SCAN) data for a crystal of Ca3InW relaxed with PBEsol, as listed in Alexandria via LeMat-Bulk.

Output
As for the calculated volume: 160 Å³ per cell.

Lattice parameters (Å, degrees): 5.4326 5.4326 5.4326 90.00 90.00 90.00
Last column: magnetic moment on the atom in μB.
Positions (direct):
W: 0.0000 0.0000 0.0000  1.46
Ca: 0.0000 0.0000 0.5000  0.06
Ca: 0.0000 0.5000 0.0000  0.06
Ca: 0.5000 0.0000 0.0000  0.06
In: 0.5000 0.5000 0.5000  -0.01



The relative energies come out as arrangement P 0.233; arrangement Q 0.000, with values in eV/atom.



Arrangement P

First-principles (meta-GGA SCAN) data for a crystal of CaYIn relaxed with PBEsol, as listed in Alexandria via LeMat-Bulk.

Output
As for the calculated volume: 91 Å³ per cell.

Lattice parameters (Å, degrees): 3.6121 3.6121 8.0949 90.00 90.00 120.00
Last column: magnetic moment on the atom in μB.
Positions (direct):
Y: 0.3333 0.6667 0.3637  0.23
In: 0.6667 0.3333 0.6631  -0.02
Ca: 0.0000 0.0000 0.9731  0.01



Arrangement Q

First-principles (meta-GGA SCAN) data for a crystal of CaYIn relaxed with PBEsol, as listed in Alexandria via LeMat-Bulk.

Output
As for the calculated volume: 167 Å³ per cell.

Lattice parameters (Å, degrees): 5.3452 5.3452 6.7668 90.00 90.00 120.00
Positions (direct):
In: 0.6667 0.3333 0.7500
In: 0.3333 0.6667 0.2500
Ca: 0.0000 0.0000 0.0000
Ca: 0.0000 0.0000 0.5000
Y: 0.6667 0.3333 0.2500
Y: 0.3333 0.6667 0.7500



The relative energies come out as arrangement P 0.326; arrangement Q 0.000, with values in eV/atom.



Arrangement P

First-principles (meta-GGA SCAN) data for a crystal of CaZrIn relaxed with PBEsol, as listed in Alexandria via LeMat-Bulk.

Output
As for the calculated volume: 87 Å³ per cell.

Lattice parameters (Å, degrees): 4.9777 4.9777 4.9777 60.00 60.00 60.00
Positions (direct):
Ca: 0.0000 0.0000 0.0000
In: 0.5000 0.5000 0.5000
Zr: 0.2500 0.2500 0.2500



Arrangement Q

First-principles (meta-GGA SCAN) data for a crystal of CaZrIn relaxed with PBEsol, as listed in Alexandria via LeMat-Bulk.

Output
As for the calculated volume: 77 Å³ per cell.

Lattice parameters (Å, degrees): 3.1569 4.2700 6.2681 109.91 104.59 90.00
Positions (direct):
In: 0.3194 0.3194 0.6387
Ca: 0.9892 0.9892 0.9783
Zr: 0.6915 0.6915 0.3830



The relative energies come out as arrangement P 0.571; arrangement Q 0.000, with values in eV/atom.